Entry from Alexandria: YSi3Te after structural relaxation (PBE).

Cell: 5.3819 5.3819 5.3819 Å, 90.00 90.00 90.00°
Fractional positions:
1 Y 0.0000 0.0000 0.0000
2 Si 0.0000 0.5000 0.0000
3 Si 0.0000 0.0000 0.5000
4 Si 0.5000 0.0000 0.0000
5 Te 0.5000 0.5000 0.5000

Summary:
Formation energy without anion corrections in eV per atom: 1.14
Total energy in eV/cell: -20.16
Volume in Å³/atom: 31.176
Symmetry: Pm-3m
Density in g cm⁻³: 3.20

Entry from Alexandria: YSi2Te after structural relaxation (PBE).

Cell: 5.4986 5.4986 5.4986 Å, 140.66 122.96 71.50°
Fractional positions:
1 Si 0.9614 0.9614 0.0000
2 Si 0.7885 0.2885 0.5000
3 Te 0.5235 0.5235 0.0000
4 Y 0.2266 0.7266 0.5000

Summary:
Formation energy without anion corrections in eV per atom: -0.30
Total energy in eV/cell: -21.66
Volume in Å³/atom: 21.688
Symmetry: Imm2
Density in g cm⁻³: 5.22

Entry from Alexandria: ZnSiTe after structural relaxation (PBE).

Cell: 6.3478 6.3478 6.3478 Å, 147.65 147.65 46.40°
Fractional positions:
1 Si 0.1034 0.1034 0.0000
2 Te 0.3226 0.3226 0.0000
3 Zn 0.5740 0.5740 0.0000

Summary:
Formation energy without anion corrections in eV per atom: 0.29
Total energy in eV/cell: -8.97
Volume in Å³/atom: 24.323
Symmetry: I4mm
Density in g cm⁻³: 5.03

Entry from Alexandria: ZnSi3Te after structural relaxation (PBE).

Cell: 4.7623 4.7623 4.7623 Å, 90.00 90.00 90.00°
Fractional positions:
1 Zn 0.0000 0.0000 0.0000
2 Te 0.5000 0.5000 0.5000
3 Si 0.0000 0.5000 0.0000
4 Si 0.0000 0.0000 0.5000
5 Si 0.5000 0.0000 0.0000

Summary:
Formation energy without anion corrections in eV per atom: 0.82
Total energy in eV/cell: -16.58
Volume in Å³/atom: 21.602
Symmetry: Pm-3m
Density in g cm⁻³: 4.26

Entry from Alexandria: ZnSi2Te after structural relaxation (PBE).

Cell: 3.8130 3.8124 5.4747 Å, 90.00 90.00 90.00°
Fractional positions:
1 Si 0.0000 0.0000 0.0000
2 Si 0.5000 0.5000 0.0000
3 Te 0.5000 0.0000 0.5000
4 Zn 0.0000 0.5000 0.5000

Summary:
Formation energy without anion corrections in eV per atom: 0.51
Total energy in eV/cell: -13.22
Volume in Å³/atom: 19.896
Symmetry: P4/mmm
Density in g cm⁻³: 5.20

Entry from Alexandria: ZnSi2Te after structural relaxation (PBE).

Cell: 5.6899 5.6899 5.6899 Å, 144.47 128.52 64.12°
Fractional positions:
1 Si 0.0046 0.0046 0.0000
2 Si 0.8156 0.3156 0.5000
3 Te 0.4688 0.4688 0.0000
4 Zn 0.2111 0.7111 0.5000

Summary:
Formation energy without anion corrections in eV per atom: 0.47
Total energy in eV/cell: -13.38
Volume in Å³/atom: 20.690
Symmetry: Imm2
Density in g cm⁻³: 5.00

Entry from Alexandria: ZnSi2Te after structural relaxation (PBE).

Cell: 4.8855 4.8855 4.8855 Å, 123.88 123.88 83.40°
Fractional positions:
1 Si 0.0000 0.0000 0.0000
2 Si 0.2500 0.7500 0.5000
3 Te 0.5000 0.5000 0.0000
4 Zn 0.7500 0.2500 0.5000

Summary:
Formation energy without anion corrections in eV per atom: 0.56
Total energy in eV/cell: -13.01
Volume in Å³/atom: 19.264
Symmetry: I-4m2
Density in g cm⁻³: 5.37

Entry from Alexandria: ZnSi2Te after structural relaxation (PBE).

Cell: 6.6150 6.6150 6.6150 Å, 33.87 33.87 33.87°
Fractional positions:
1 Si 0.9913 0.9913 0.9913
2 Si 0.2697 0.2697 0.2697
3 Te 0.4997 0.4997 0.4997
4 Zn 0.7393 0.7393 0.7393

Summary:
Formation energy without anion corrections in eV per atom: 0.22
Total energy in eV/cell: -14.39
Volume in Å³/atom: 20.032
Symmetry: R3m
Density in g cm⁻³: 5.16

Entry from Alexandria: Zn2Si2Te after structural relaxation (PBE).

Cell: 3.5705 3.5705 7.8450 Å, 76.85 76.85 90.00°
Fractional positions:
1 Zn 0.3924 0.3924 0.2152
2 Zn 0.6076 0.6076 0.7848
3 Te 0.0000 0.0000 0.0000
4 Si 0.7500 0.2500 0.5000
5 Si 0.2500 0.7500 0.5000

Summary:
Formation energy without anion corrections in eV per atom: 0.25
Total energy in eV/cell: -15.30
Volume in Å³/atom: 18.938
Symmetry: I4/mmm
Density in g cm⁻³: 5.52

Entry from Alexandria: ZnSi2Te after structural relaxation (PBE).

Cell: 6.2215 6.2215 6.2215 Å, 144.38 144.38 51.25°
Fractional positions:
1 Si 0.0000 0.0000 0.0000
2 Si 0.5000 0.5000 0.0000
3 Te 0.2500 0.7500 0.5000
4 Zn 0.7500 0.2500 0.5000

Summary:
Formation energy without anion corrections in eV per atom: 0.52
Total energy in eV/cell: -13.20
Volume in Å³/atom: 20.309
Symmetry: I4/mmm
Density in g cm⁻³: 5.09

Entry from Alexandria: ZnSi2Te after structural relaxation (PBE).

Cell: 5.0497 3.9419 3.9412 Å, 84.25 90.00 90.00°
Fractional positions:
1 Si 0.0000 0.9600 0.9600
2 Si 0.0000 0.5400 0.5400
3 Te 0.5000 0.2500 0.2500
4 Zn 0.5000 0.7500 0.7500

Summary:
Formation energy without anion corrections in eV per atom: 0.30
Total energy in eV/cell: -14.08
Volume in Å³/atom: 19.514
Symmetry: Cmmm
Density in g cm⁻³: 5.30

Entry from Alexandria: ZnSi2Te after structural relaxation (PBE).

Cell: 4.6996 4.6996 3.5612 Å, 90.00 90.00 90.00°
Fractional positions:
1 Si 0.0000 0.0000 0.0000
2 Si 0.5000 0.5000 0.0000
3 Te 0.5000 0.0000 0.5000
4 Zn 0.0000 0.5000 0.5000

Summary:
Formation energy without anion corrections in eV per atom: 0.58
Total energy in eV/cell: -12.93
Volume in Å³/atom: 19.663
Symmetry: P4/mmm
Density in g cm⁻³: 5.26

Entry from Alexandria: ZnSi2Te after structural relaxation (PBE).

Cell: 5.8536 5.8536 7.2106 Å, 66.05 66.05 90.00°
Fractional positions:
1 Zn 0.5000 0.5000 0.0000
2 Zn 0.2500 0.7500 0.5000
3 Te 0.0000 0.0000 0.0000
4 Te 0.7500 0.2500 0.5000
5 Si 0.5809 0.1250 0.2500
6 Si 0.1691 0.6250 0.2500
7 Si 0.3750 0.4191 0.7500
8 Si 0.8750 0.8309 0.7500

Summary:
Formation energy without anion corrections in eV per atom: 0.33
Total energy in eV/cell: -27.92
Volume in Å³/atom: 25.288
Symmetry: I-42d
Density in g cm⁻³: 4.09

Entry from Alexandria: ZnSi2Te after structural relaxation (PBE).

Cell: 4.8005 4.8005 4.8005 Å, 60.00 60.00 60.00°
Fractional positions:
1 Zn 0.0000 0.0000 0.0000
2 Te 0.5000 0.5000 0.5000
3 Si 0.2500 0.2500 0.2500
4 Si 0.7500 0.7500 0.7500

Summary:
Formation energy without anion corrections in eV per atom: 0.62
Total energy in eV/cell: -12.76
Volume in Å³/atom: 19.556
Symmetry: Fm-3m
Density in g cm⁻³: 5.29

Entry from Alexandria: ZnSi2Te after structural relaxation (PBE).

Cell: 3.0148 3.0148 9.1589 Å, 90.00 90.00 106.09°
Fractional positions:
1 Si 0.0000 0.0000 0.9980
2 Si 0.5000 0.5000 0.1907
3 Te 0.0000 0.0000 0.5203
4 Zn 0.5000 0.5000 0.7910

Summary:
Formation energy without anion corrections in eV per atom: 0.46
Total energy in eV/cell: -13.42
Volume in Å³/atom: 19.997
Symmetry: Cmm2
Density in g cm⁻³: 5.17

Entry from Alexandria: Zn2SiTe4 after structural relaxation (PBE).

Cell: 6.0140 6.4770 6.4770 Å, 90.00 90.00 90.00°
Fractional positions:
1 Zn 0.0000 0.5000 0.0000
2 Zn 0.0000 0.0000 0.5000
3 Si 0.0000 0.0000 0.0000
4 Te 0.2411 0.7718 0.2282
5 Te 0.7589 0.2282 0.2282
6 Te 0.7589 0.7718 0.7718
7 Te 0.2411 0.2282 0.7718

Summary:
Formation energy without anion corrections in eV per atom: -0.20
Total energy in eV/cell: -21.90
Volume in Å³/atom: 36.043
Symmetry: P-42m
Density in g cm⁻³: 4.41

Entry from Alexandria: ZnSi2Te2 after structural relaxation (PBE).

Cell: 6.8448 6.8448 6.8448 Å, 136.44 136.44 63.30°
Fractional positions:
1 Zn 0.0000 0.0000 0.0000
2 Si 0.2500 0.7500 0.5000
3 Si 0.7500 0.2500 0.5000
4 Te 0.6596 0.6596 0.0000
5 Te 0.3404 0.3404 0.0000

Summary:
Formation energy without anion corrections in eV per atom: 0.51
Total energy in eV/cell: -15.83
Volume in Å³/atom: 30.067
Symmetry: I4/mmm
Density in g cm⁻³: 4.16

Entry from Alexandria: ZnSiTe after structural relaxation (PBE).

Cell: 3.8528 3.8528 5.1032 Å, 90.00 90.00 120.00°
Fractional positions:
1 Si 0.0000 0.0000 0.9820
2 Te 0.3333 0.6667 0.3122
3 Zn 0.6667 0.3333 0.7058

Summary:
Formation energy without anion corrections in eV per atom: 0.19
Total energy in eV/cell: -9.26
Volume in Å³/atom: 21.868
Symmetry: P3m1
Density in g cm⁻³: 5.60

Entry from Alexandria: ZnSiTe after structural relaxation (PBE).

Cell: 6.1494 6.0035 3.3572 Å, 76.37 71.58 32.04°
Fractional positions:
1 Si 0.9792 0.9792 0.0208
2 Te 0.6607 0.6607 0.3393
3 Zn 0.3602 0.3602 0.6398

Summary:
Formation energy without anion corrections in eV per atom: 0.41
Total energy in eV/cell: -8.61
Volume in Å³/atom: 20.755
Symmetry: Fmm2
Density in g cm⁻³: 5.90

Entry from Alexandria: Zn3SiTe after structural relaxation (PBE).

Cell: 4.8030 4.8030 4.8030 Å, 90.00 90.00 90.00°
Fractional positions:
1 Zn 0.0000 0.5000 0.0000
2 Zn 0.0000 0.0000 0.5000
3 Zn 0.5000 0.0000 0.0000
4 Te 0.5000 0.5000 0.5000
5 Si 0.0000 0.0000 0.0000

Summary:
Formation energy without anion corrections in eV per atom: 0.23
Total energy in eV/cell: -11.22
Volume in Å³/atom: 22.161
Symmetry: Pm-3m
Density in g cm⁻³: 5.27

Entry from Alexandria: ZnSi2Te after structural relaxation (PBE).

Cell: 4.3922 4.3922 6.2635 Å, 65.98 65.98 51.29°
Fractional positions:
1 Si 0.9850 0.9850 0.9098
2 Si 0.5150 0.5150 0.5902
3 Te 0.2500 0.2500 0.2500
4 Zn 0.7500 0.7500 0.7500

Summary:
Formation energy without anion corrections in eV per atom: 0.34
Total energy in eV/cell: -13.90
Volume in Å³/atom: 21.032
Symmetry: C2/m
Density in g cm⁻³: 4.92

Entry from Alexandria: ZnSi2Te after structural relaxation (PBE).

Cell: 5.5099 5.5099 5.5099 Å, 142.90 129.55 64.26°
Fractional positions:
1 Si 0.0044 0.0044 0.0000
2 Si 0.4956 0.4956 0.0000
3 Te 0.7500 0.2500 0.5000
4 Zn 0.2500 0.7500 0.5000

Summary:
Formation energy without anion corrections in eV per atom: 0.53
Total energy in eV/cell: -13.15
Volume in Å³/atom: 19.205
Symmetry: Immm
Density in g cm⁻³: 5.39

Entry from Alexandria: ZnSi2Te after structural relaxation (PBE).

Cell: 3.9823 3.9823 6.6228 Å, 89.83 89.83 56.33°
Fractional positions:
1 Si 0.9373 0.9373 0.1636
2 Si 0.2605 0.2605 0.0420
3 Te 0.4942 0.4942 0.5375
4 Zn 0.8079 0.8079 0.7570

Summary:
Formation energy without anion corrections in eV per atom: 0.16
Total energy in eV/cell: -14.62
Volume in Å³/atom: 21.852
Symmetry: Cm
Density in g cm⁻³: 4.73

Entry from Alexandria: Zn3SiTe after structural relaxation (PBE).

Cell: 5.2091 5.2091 5.2091 Å, 90.00 90.00 90.00°
Fractional positions:
1 Zn 0.0000 0.5000 0.0000
2 Zn 0.0000 0.0000 0.5000
3 Zn 0.5000 0.0000 0.0000
4 Te 0.0000 0.0000 0.0000
5 Si 0.5000 0.5000 0.5000

Summary:
Formation energy without anion corrections in eV per atom: 0.96
Total energy in eV/cell: -7.60
Volume in Å³/atom: 28.270
Symmetry: Pm-3m
Density in g cm⁻³: 4.13

Entry from Alexandria: ZnSi2Te after structural relaxation (PBE).

Cell: 3.5612 3.6405 6.7048 Å, 90.00 90.00 90.00°
Fractional positions:
1 Si 0.0000 0.0000 0.1520
2 Si 0.5000 0.5000 0.0823
3 Te 0.0000 0.0000 0.5421
4 Zn 0.5000 0.5000 0.7236

Summary:
Formation energy without anion corrections in eV per atom: 0.21
Total energy in eV/cell: -14.43
Volume in Å³/atom: 21.731
Symmetry: Pmm2
Density in g cm⁻³: 4.76

Entry from Alexandria: ZnSi2Te after structural relaxation (PBE).

Cell: 4.7626 4.7626 3.5896 Å, 90.00 90.00 105.31°
Fractional positions:
1 Si 0.0000 0.0000 0.0000
2 Si 0.5000 0.5000 0.0000
3 Te 0.5000 0.0000 0.5000
4 Zn 0.0000 0.5000 0.5000

Summary:
Formation energy without anion corrections in eV per atom: 0.57
Total energy in eV/cell: -12.97
Volume in Å³/atom: 19.633
Symmetry: Cmmm
Density in g cm⁻³: 5.27

Entry from Alexandria: ZnSi2Te after structural relaxation (PBE).

Cell: 2.9366 2.9366 9.4711 Å, 90.00 90.00 90.00°
Fractional positions:
1 Si 0.0000 0.0000 0.9364
2 Si 0.0000 0.0000 0.5636
3 Te 0.5000 0.5000 0.2500
4 Zn 0.5000 0.5000 0.7500

Summary:
Formation energy without anion corrections in eV per atom: 0.52
Total energy in eV/cell: -13.19
Volume in Å³/atom: 20.419
Symmetry: P4/mmm
Density in g cm⁻³: 5.07

Entry from Alexandria: ZnSi2Te2 after structural relaxation (PBE).

Cell: 5.4700 5.4700 5.4700 Å, 118.47 118.47 92.67°
Fractional positions:
1 Zn 0.0000 0.0000 0.0000
2 Si 0.3281 0.3281 0.0000
3 Si 0.6719 0.6719 0.0000
4 Te 0.2500 0.7500 0.5000
5 Te 0.7500 0.2500 0.5000

Summary:
Formation energy without anion corrections in eV per atom: 0.27
Total energy in eV/cell: -17.07
Volume in Å³/atom: 23.653
Symmetry: I4/mmm
Density in g cm⁻³: 5.29

Entry from Alexandria: ZnSi2Te6 after structural relaxation (PBE).

Cell: 7.1162 9.6666 9.6666 Å, 101.49 76.27 76.27°
Fractional positions:
1 Zn 0.2500 0.2023 0.7977
2 Zn 0.7500 0.7977 0.2023
3 Si 0.1130 0.6487 0.7715
4 Si 0.3870 0.2285 0.3513
5 Si 0.8870 0.3513 0.2285
6 Si 0.6130 0.7715 0.6487
7 Te 0.3126 0.7298 0.5627
8 Te 0.1874 0.4373 0.2702
9 Te 0.6874 0.2702 0.4373
10 Te 0.8126 0.5627 0.7298
11 Te 0.8155 0.8696 0.4640
12 Te 0.6845 0.5360 0.1304
13 Te 0.1845 0.1304 0.5360
14 Te 0.3155 0.4640 0.8696
15 Te 0.0714 0.8436 0.0121
16 Te 0.4286 0.9879 0.1564
17 Te 0.9286 0.1564 0.9879
18 Te 0.5714 0.0121 0.8436

Summary:
Formation energy without anion corrections in eV per atom: -0.03
Total energy in eV/cell: -62.54
Volume in Å³/atom: 33.558
Symmetry: C2/c
Density in g cm⁻³: 4.88